Entry 1:
Material: LaPr2Tm
Method: DFT, PBE-GGA
State: relaxed

Values from the calculation:
Total energy ... -18.906 eV/cell
E above lowest polymorph ... 0.000 eV/atom

The structure in CIF format:
```
data_LaPr2Tm
_cell_length_a 5.168
_cell_length_b 5.168
_cell_length_c 5.192
_cell_angle_alpha 90.00
_cell_angle_beta 90.00
_cell_angle_gamma 90.00
_space_group_name_H-M_alt 'P 4/m m m'
_space_group_IT_number 123
_space_group_name_Hall '-P 4 2'
loop_
_atom_site_label
_atom_site_type_symbol
_atom_site_fract_x
_atom_site_fract_y
_atom_site_fract_z
_atom_site_occupancy
La1 La 0.000 0.000 0.000 1
Pr1 Pr 0.000 0.500 0.500 1
Tm1 Tm 0.500 0.500 0.000 1
```

=====

Entry 2:
Material: La12PrTm5
Method: DFT, PBE-GGA
State: relaxed

Values from the calculation:
Total energy ... -171.811 eV/cell

The structure in CIF format:
```
data_La12PrTm5
_cell_length_a 19.074
_cell_length_b 10.912
_cell_length_c 6.365
_cell_angle_alpha 90.00
_cell_angle_beta 109.22
_cell_angle_gamma 90.00
_space_group_name_H-M_alt 'C 1 2/m 1'
_space_group_IT_number 12
loop_
_space_group_symop_operation_xyz
'x,y,z'
'-x,-y,-z'
'-x,y,-z'
'x,-y,z'
'x+1/2,y+1/2,z'
'-x+1/2,-y+1/2,-z'
'-x+1/2,y+1/2,-z'
'x+1/2,-y+1/2,z'
loop_
_atom_site_label
_atom_site_type_symbol
_atom_site_fract_x
_atom_site_fract_y
_atom_site_fract_z
_atom_site_occupancy
La1 La 0.000 0.167 0.000 1
La2 La 0.000 0.328 0.500 1
La3 La 0.167 0.170 0.834 1
La4 La 0.167 0.329 0.336 1
Pr1 Pr 0.000 0.500 0.000 1
Tm1 Tm 0.000 0.000 0.500 1
Tm2 Tm 0.167 0.000 0.335 1
Tm3 Tm 0.168 0.500 0.832 1
```

=====

Entry 3:
Material: La2Pr4Tm5
Method: DFT, PBE-GGA
State: relaxed

Values from the calculation:
Total energy ... -97.014 eV/cell
E above lowest polymorph ... 0.177 eV/atom

The structure in CIF format:
```
data_La2Pr4Tm5
_cell_length_a 3.542
_cell_length_b 9.261
_cell_length_c 23.295
_cell_angle_alpha 90.00
_cell_angle_beta 90.00
_cell_angle_gamma 90.00
_space_group_name_H-M_alt 'I m m m'
_space_group_IT_number 71
_space_group_name_Hall '-I 2 2'
loop_
_atom_site_label
_atom_site_type_symbol
_atom_site_fract_x
_atom_site_fract_y
_atom_site_fract_z
_atom_site_occupancy
La1 La 0.000 0.000 0.233 1
Pr1 Pr 0.000 0.000 0.097 1
Pr2 Pr 0.000 0.295 0.500 1
Tm1 Tm 0.000 0.189 0.360 1
Tm2 Tm 0.000 0.500 0.000 1
```

=====

Entry 4:
Material: La2Pr15Tm2
Method: DFT, PBE-GGA
State: relaxed

Values from the calculation:
Total energy ... -258.471 eV/cell

The structure in CIF format:
```
data_La2Pr15Tm2
_cell_length_a 11.5602
_cell_length_b 11.5602
_cell_length_c 18.2382
_cell_angle_alpha 90.00
_cell_angle_beta 90.00
_cell_angle_gamma 120.00
_space_group_name_H-M_alt 'R -3 m'
_space_group_IT_number 166
_space_group_name_Hall '-R 3 2"'
loop_
_atom_site_label
_atom_site_type_symbol
_atom_site_fract_x
_atom_site_fract_y
_atom_site_fract_z
_atom_site_occupancy
La1 La 0.0000 0.0000 0.1804 1
Pr1 Pr 0.0000 0.2929 0.5000 1
Pr2 Pr 0.0000 0.5000 0.0000 1
Pr3 Pr 0.0144 0.5072 0.6370 1
Tm1 Tm 0.0000 0.0000 0.4066 1
```

=====

Entry 5:
Material: LaPr6Tm2
Method: DFT, PBE-GGA
State: relaxed

Values from the calculation:
Total energy ... -84.726 eV/cell
E above lowest polymorph ... 0.000 eV/atom

The structure in CIF format:
```
data_LaPr6Tm2
_cell_length_a 19.063
_cell_length_b 3.681
_cell_length_c 8.981
_cell_angle_alpha 90.00
_cell_angle_beta 90.80
_cell_angle_gamma 90.00
_space_group_name_H-M_alt 'C 1 2/m 1'
_space_group_IT_number 12
loop_
_space_group_symop_operation_xyz
'x,y,z'
'-x,-y,-z'
'-x,y,-z'
'x,-y,z'
'x+1/2,y+1/2,z'
'-x+1/2,-y+1/2,-z'
'-x+1/2,y+1/2,-z'
'x+1/2,-y+1/2,z'
loop_
_atom_site_label
_atom_site_type_symbol
_atom_site_fract_x
_atom_site_fract_y
_atom_site_fract_z
_atom_site_occupancy
La1 La 0.000 0.000 0.000 1
Pr1 Pr 0.108 0.000 0.663 1
Pr2 Pr 0.166 0.500 0.998 1
Pr3 Pr 0.220 0.000 0.336 1
Tm1 Tm 0.055 0.500 0.334 1
```

=====

Entry 6:
Material: La2Pr3Tm
Method: DFT, PBE-GGA
State: relaxed

Values from the calculation:
Total energy ... -57.246 eV/cell
E above lowest polymorph ... 0.000 eV/atom

The structure in CIF format:
```
data_La2Pr3Tm
_cell_length_a 6.4201
_cell_length_b 6.4201
_cell_length_c 11.9283
_cell_angle_alpha 90.00
_cell_angle_beta 90.00
_cell_angle_gamma 120.00
_space_group_name_H-M_alt 'P 63/m c m'
_space_group_IT_number 193
_space_group_name_Hall '-P 6c 2'
loop_
_atom_site_label
_atom_site_type_symbol
_atom_site_fract_x
_atom_site_fract_y
_atom_site_fract_z
_atom_site_occupancy
La1 La 0.3333 0.6667 0.0000 1
Pr1 Pr 0.0000 0.3258 0.2500 1
Tm1 Tm 0.0000 0.0000 0.0000 1
```

=====

Entry 7:
Material: La4Pr6Tm
Method: DFT, PBE-GGA
State: relaxed

Values from the calculation:
Total energy ... -100.498 eV/cell
E above lowest polymorph ... 0.000 eV/atom

The structure in CIF format:
```
data_La4Pr6Tm
_cell_length_a 6.846
_cell_length_b 6.846
_cell_length_c 17.021
_cell_angle_alpha 90.00
_cell_angle_beta 90.00
_cell_angle_gamma 90.00
_space_group_name_H-M_alt 'I -4 2 m'
_space_group_IT_number 121
_space_group_name_Hall 'I -4 2'
loop_
_atom_site_label
_atom_site_type_symbol
_atom_site_fract_x
_atom_site_fract_y
_atom_site_fract_z
_atom_site_occupancy
La1 La 0.160 0.160 0.379 1
Pr1 Pr 0.000 0.500 0.000 1
Pr2 Pr 0.183 0.183 0.181 1
Tm1 Tm 0.000 0.000 0.000 1
```

=====

Entry 8:
Material: LaPr3Tm8
Method: DFT, PBE-GGA
State: relaxed

Values from the calculation:
Total energy ... -103.334 eV/cell

The structure in CIF format:
```
data_LaPr3Tm8
_cell_length_a 6.359
_cell_length_b 11.409
_cell_length_c 11.482
_cell_angle_alpha 90.00
_cell_angle_beta 90.00
_cell_angle_gamma 90.00
_space_group_name_H-M_alt 'I m m m'
_space_group_IT_number 71
_space_group_name_Hall '-I 2 2'
loop_
_atom_site_label
_atom_site_type_symbol
_atom_site_fract_x
_atom_site_fract_y
_atom_site_fract_z
_atom_site_occupancy
La1 La 0.000 0.000 0.000 1
Pr1 Pr 0.000 0.249 0.500 1
Pr2 Pr 0.000 0.500 0.000 1
Tm1 Tm 0.000 0.250 0.175 1
Tm2 Tm 0.249 0.000 0.251 1
```

=====

Record-wise ΔE_f values, in meV/atom: 13; 20; 257; 228; 21; 7; 237; 281